Entry from Alexandria via LeMat-Bulk: a geometry-optimized Li3Tb2Pt4 structure (PBE-GGA).

Unit cell a=5.5421 b=7.5788 c=7.8695 alpha=90.00 beta=110.62 gamma=90.00
Fractional coordinates of all 18 atoms:
1 Li 0.0000 0.0000 0.0000
2 Tb 0.8868 0.4117 0.7737
3 Tb 0.3868 0.0883 0.7737
4 Li 0.5314 0.7500 0.5628
5 Pt 0.1779 0.9674 0.3558
6 Pt 0.3221 0.4674 0.6442
7 Li 0.9686 0.2500 0.4372
8 Tb 0.1132 0.5883 0.2263
9 Pt 0.2994 0.2500 0.0988
10 Li 0.4686 0.2500 0.4372
11 Pt 0.7994 0.2500 0.0988
12 Li 0.5000 0.5000 0.0000
13 Pt 0.2006 0.7500 0.9012
14 Pt 0.7006 0.7500 0.9012
15 Pt 0.6779 0.5326 0.3558
16 Tb 0.6132 0.9117 0.2263
17 Pt 0.8221 0.0326 0.6442
18 Li 0.0314 0.7500 0.5628

ΔH_f (0 K) (eV/atom): -0.862
Crystal system: orthorhombic



Entry from Alexandria via LeMat-Bulk: a geometry-optimized BaAsPt2 structure (PBE-GGA).

Unit cell a=4.9976 b=4.9976 c=4.9976 alpha=60.00 beta=60.00 gamma=60.00
Fractional coordinates of all 4 atoms:
1 Pt 0.2500 0.2500 0.2500
2 Ba 0.7500 0.7500 0.7500
3 Pt 0.0000 0.0000 0.0000
4 As 0.5000 0.5000 0.5000

ΔH_f (0 K) (eV/atom): 0.038
Crystal system: cubic



Entry from Alexandria via LeMat-Bulk: a geometry-optimized La2Mg2Rh structure (PBE-GGA).

Unit cell a=3.8335 b=3.8335 c=9.8241 alpha=78.75 beta=78.75 gamma=90.00
Fractional coordinates of all 5 atoms:
1 Mg 0.7500 0.2500 0.5000
2 La 0.5846 0.5846 0.8308
3 Rh 0.0000 0.0000 0.0000
4 La 0.4154 0.4154 0.1692
5 Mg 0.2500 0.7500 0.5000

Energy above the lowest structure with this stoichiometry (meV/atom): 19
ΔH_f (0 K) (eV/atom): -0.096
Crystal system: tetragonal



Entry from Alexandria via LeMat-Bulk: a geometry-optimized Hf4VSn structure (PBE-GGA).

Unit cell a=5.5195 b=8.0138 c=7.3770 alpha=114.55 beta=100.88 gamma=109.96
Fractional coordinates of all 12 atoms:
1 Hf 0.9434 0.8010 0.1693
2 Hf 0.7259 0.3683 0.1693
3 Hf 0.3630 0.9251 0.6381
4 V 0.7498 0.9998 0.9996
5 Sn 0.6319 0.3819 0.7638
6 Sn 0.3681 0.6181 0.2362
7 V 0.2502 0.0002 0.0004
8 Hf 0.0566 0.1990 0.8307
9 Hf 0.2741 0.6317 0.8307
10 Hf 0.7751 0.7130 0.6381
11 Hf 0.6370 0.0749 0.3619
12 Hf 0.2249 0.2870 0.3619

ΔH_f (0 K) (eV/atom): -0.089
Crystal system: monoclinic



Entry from Alexandria via LeMat-Bulk: a geometry-optimized LaIn structure (PBE-GGA).

Unit cell a=5.6440 b=5.6440 c=6.5234 alpha=90.00 beta=90.00 gamma=120.00
Fractional coordinates of all 4 atoms:
1 La 0.6667 0.3333 0.2500
2 In 0.6667 0.3333 0.7500
3 In 0.3333 0.6667 0.2500
4 La 0.3333 0.6667 0.7500

ΔH_f (0 K) (eV/atom): 0.246
Crystal system: hexagonal



Entry from Alexandria via LeMat-Bulk: a geometry-optimized MnV2Zn2 structure (PBE-GGA).

Unit cell a=6.5424 b=6.5424 c=3.3542 alpha=90.00 beta=90.00 gamma=90.00
Fractional coordinates of all 10 atoms:
1 Mn 0.0000 0.0000 0.0000
2 Mn 0.5000 0.5000 0.0000
3 Zn 0.8697 0.6303 0.0000
4 V 0.8284 0.3284 0.5000
5 Zn 0.6303 0.1303 0.0000
6 V 0.6716 0.8284 0.5000
7 Zn 0.1303 0.3697 0.0000
8 V 0.1716 0.6716 0.5000
9 Zn 0.3697 0.8697 0.0000
10 V 0.3284 0.1716 0.5000

ΔH_f (0 K) (eV/atom): 0.253
Crystal system: tetragonal



Entry from Alexandria via LeMat-Bulk: a geometry-optimized CaYCd3 structure (PBE-GGA).

Unit cell a=5.7362 b=5.7362 c=5.7362 alpha=90.00 beta=90.00 gamma=90.00
Fractional coordinates of all 5 atoms:
1 Cd 0.5000 0.0000 0.0000
2 Cd 0.0000 0.0000 0.5000
3 Y 0.0000 0.0000 0.0000
4 Cd 0.0000 0.5000 0.0000
5 Ca 0.5000 0.5000 0.5000

Energy above the lowest structure with this stoichiometry (meV/atom): 706
ΔH_f (0 K) (eV/atom): 0.390
Crystal system: cubic



Entry from Alexandria via LeMat-Bulk: a geometry-optimized DyInSnAu structure (PBE-GGA).

Unit cell a=5.1412 b=5.1412 c=5.1412 alpha=60.00 beta=60.00 gamma=60.00
Fractional coordinates of all 4 atoms:
1 Sn 0.7500 0.7500 0.7500
2 Au 0.2500 0.2500 0.2500
3 Dy 0.5000 0.5000 0.5000
4 In 0.0000 0.0000 0.0000

ΔH_f (0 K) (eV/atom): -0.371
Crystal system: cubic



Entry from Alexandria via LeMat-Bulk: a geometry-optimized Mg8Cd3Au2 structure (PBE-GGA).

Unit cell a=4.8573 b=8.4498 c=8.2689 alpha=120.73 beta=90.00 gamma=90.00
Fractional coordinates of all 13 atoms:
1 Mg 0.5000 0.1528 0.7389
2 Au 0.5000 0.7757 0.5515
3 Cd 0.0000 0.6931 0.0000
4 Mg 0.0000 0.3245 0.6489
5 Mg 0.0000 0.8809 0.7618
6 Cd 0.5000 0.0000 0.0000
7 Mg 0.0000 0.1191 0.2382
8 Mg 0.0000 0.6755 0.3511
9 Mg 0.5000 0.5861 0.7389
10 Mg 0.5000 0.4139 0.2611
11 Au 0.5000 0.2243 0.4485
12 Cd 0.0000 0.3069 0.0000
13 Mg 0.5000 0.8472 0.2611

ΔH_f (0 K) (eV/atom): -0.223
Crystal system: orthorhombic



Entry from Alexandria via LeMat-Bulk: a geometry-optimized NbClO2 structure (PBE-GGA).

Unit cell a=3.1115 b=6.7644 c=6.3257 alpha=90.00 beta=90.00 gamma=103.14
Fractional coordinates of all 8 atoms:
1 Nb 0.7547 0.5096 0.2500
2 O 0.1910 0.3807 0.4273
3 Cl 0.5947 0.1857 0.7500
4 Cl 0.4053 0.8143 0.2500
5 O 0.1910 0.3807 0.0727
6 Nb 0.2453 0.4904 0.7500
7 O 0.8090 0.6193 0.5727
8 O 0.8090 0.6193 0.9273

Formation energy (no corrections) (eV per atom): -1.97
Crystal system: monoclinic



Entry from Alexandria via LeMat-Bulk: a geometry-optimized RbZnGeH2 structure (PBE-GGA).

Unit cell a=4.2613 b=6.9622 c=4.2613 alpha=90.00 beta=90.00 gamma=90.00
Fractional coordinates of all 5 atoms:
1 Zn 0.0000 0.5000 0.0000
2 Rb 0.0000 0.0000 0.0000
3 Ge 0.5000 0.5000 0.5000
4 H 0.5000 0.0000 0.0000
5 H 0.0000 0.0000 0.5000

VASP energy (eV per atom): -1.612
Crystal system: tetragonal



Entry from Alexandria via LeMat-Bulk: a geometry-optimized LiScRu2 structure (PBE-GGA).

Unit cell a=4.3020 b=2.8148 c=4.9395 alpha=83.85 beta=90.00 gamma=90.00
Fractional coordinates of all 4 atoms:
1 Ru 0.0000 0.9711 0.9857
2 Li 0.5000 0.7500 0.7500
3 Sc 0.5000 0.2500 0.2500
4 Ru 0.0000 0.5289 0.5143

ΔH_f (0 K) (eV/atom): -0.031
Crystal system: monoclinic



Entry from Alexandria via LeMat-Bulk: a geometry-optimized Er6ZrSc8 structure (PBE-GGA).

Unit cell a=8.5244 b=8.5244 c=8.1356 alpha=58.41 beta=58.41 gamma=60.00
Fractional coordinates of all 15 atoms:
1 Er 0.7865 0.4555 0.8713
2 Sc 0.2510 0.2788 0.5785
3 Er 0.5445 0.1133 0.1287
4 Sc 0.7490 0.7212 0.4215
5 Sc 0.5741 0.5741 0.2776
6 Sc 0.7212 0.1083 0.4215
7 Er 0.8867 0.7865 0.8713
8 Sc 0.4259 0.4259 0.7224
9 Zr 0.0000 0.0000 0.0000
10 Sc 0.1083 0.7490 0.4215
11 Sc 0.2788 0.8917 0.5785
12 Er 0.4555 0.8867 0.8713
13 Er 0.2135 0.5445 0.1287
14 Er 0.1133 0.2135 0.1287
15 Sc 0.8917 0.2510 0.5785

ΔH_f (0 K) (eV/atom): 0.120
Crystal system: trigonal



Entry from Alexandria via LeMat-Bulk: a geometry-optimized PaPb structure (PBE-GGA).

Unit cell a=4.4517 b=4.4517 c=4.4517 alpha=60.00 beta=60.00 gamma=60.00
Fractional coordinates of all 2 atoms:
1 Pa 0.5000 0.5000 0.5000
2 Pb 0.0000 0.0000 0.0000

Energy above the lowest structure with this stoichiometry (meV/atom): 71
ΔH_f (0 K) (eV/atom): 0.299
Crystal system: cubic



Entry from Alexandria via LeMat-Bulk: a geometry-optimized FeTcAs2Se structure (PBE-GGA).

Unit cell a=4.5295 b=4.5295 c=4.6709 alpha=90.00 beta=90.00 gamma=90.00
Fractional coordinates of all 5 atoms:
1 Fe 0.0000 0.0000 0.0000
2 As 0.5000 0.0000 0.0000
3 Se 0.0000 0.0000 0.5000
4 As 0.0000 0.5000 0.0000
5 Tc 0.5000 0.5000 0.5000

Formation energy (no corrections) (eV per atom): 0.84
Energy above the lowest structure with this stoichiometry (meV/atom): 0
Crystal system: tetragonal



Entry from Alexandria via LeMat-Bulk: a geometry-optimized AcPrP2 structure (PBE-GGA).

Unit cell a=4.2595 b=4.2595 c=7.7838 alpha=74.12 beta=74.12 gamma=60.00
Fractional coordinates of all 4 atoms:
1 Ac 0.6693 0.6693 0.9922
2 P 0.2465 0.2465 0.2604
3 Pr 0.4986 0.4986 0.5042
4 P 0.0856 0.0856 0.7433

Energy above the lowest structure with this stoichiometry (meV/atom): 158
ΔH_f (0 K) (eV/atom): -1.318
Crystal system: trigonal



Entry from Alexandria via LeMat-Bulk: a geometry-optimized ScCo2Hg structure (PBE-GGA).

Unit cell a=8.5102 b=8.5102 c=8.5102 alpha=20.29 beta=20.29 gamma=20.29
Fractional coordinates of all 4 atoms:
1 Co 0.4962 0.4962 0.4962
2 Co 0.0038 0.0038 0.0038
3 Sc 0.7500 0.7500 0.7500
4 Hg 0.2500 0.2500 0.2500

ΔH_f (0 K) (eV/atom): 0.308
Crystal system: trigonal



Entry from Alexandria via LeMat-Bulk: a geometry-optimized Sc2MnS structure (PBE-GGA).

Unit cell a=6.8208 b=6.8208 c=5.7279 alpha=53.46 beta=53.46 gamma=90.00
Fractional coordinates of all 8 atoms:
1 Sc 0.8750 0.8714 0.7500
2 S 0.2500 0.7500 0.5000
3 Sc 0.3750 0.3786 0.7500
4 Sc 0.6214 0.1250 0.2500
5 Sc 0.1286 0.6250 0.2500
6 Mn 0.0000 0.0000 0.0000
7 Mn 0.7500 0.2500 0.5000
8 S 0.5000 0.5000 0.0000

Formation energy (no corrections) (eV per atom): -0.09
Crystal system: tetragonal



Entry from Alexandria via LeMat-Bulk: a geometry-optimized ZrAuIN2 structure (PBE-GGA).

Unit cell a=4.1426 b=4.1426 c=6.4799 alpha=90.00 beta=90.00 gamma=90.00
Fractional coordinates of all 5 atoms:
1 N 0.5000 0.0000 0.0000
2 Au 0.5000 0.5000 0.5000
3 I 0.0000 0.0000 0.5000
4 Zr 0.0000 0.0000 0.0000
5 N 0.0000 0.5000 0.0000

Formation energy (no corrections) (eV per atom): 0.50
Energy above the lowest structure with this stoichiometry (meV/atom): 0
Crystal system: tetragonal



Entry from Alexandria via LeMat-Bulk: a geometry-optimized Rb2In4HgAu3 structure (PBE-GGA).

Unit cell a=5.1423 b=5.1423 c=10.9956 alpha=90.00 beta=90.00 gamma=90.00
Fractional coordinates of all 10 atoms:
1 Au 0.0000 0.5000 0.1166
2 Rb 0.0000 0.5000 0.7450
3 In 0.5000 0.0000 0.6275
4 Rb 0.5000 0.0000 0.2550
5 Hg 0.5000 0.5000 0.5000
6 Au 0.0000 0.0000 0.5000
7 In 0.0000 0.5000 0.3725
8 Au 0.5000 0.0000 0.8834
9 In 0.5000 0.5000 0.0000
10 In 0.0000 0.0000 0.0000

ΔH_f (0 K) (eV/atom): -0.244
Crystal system: tetragonal